## one
The following is a PBE-GGA calculation of a geometry-optimized SnHgSbI2 structure, from Alexandria via LeMat-Bulk.

a = 6.1004 Å, b = 6.1004 Å, c = 5.9836 Å
α = 90.00°, β = 90.00°, γ = 90.00°
Last column: nearest neighbours and their distance in Å.
Fractional coordinates of all 5 atoms:
I1 0.0000 0.5000 0.0000  2 Sn 3.05
Hg1 0.5000 0.5000 0.5000  8 I 4.27, 4 Sb 4.31
Sn1 0.0000 0.0000 0.0000  2 Sb 2.99, 4 I 3.05
Sb1 0.0000 0.0000 0.5000  2 Sn 2.99
I2 0.5000 0.0000 0.0000  2 Sn 3.05

Output
Volume ... 223 Å³/f.u.

***

## two
The following is a PBE-GGA calculation of a geometry-optimized SnHgSbI2 structure, from Alexandria via LeMat-Bulk.

a = 6.1663 Å, b = 6.1663 Å, c = 5.7462 Å
α = 90.00°, β = 90.00°, γ = 90.00°
Last column: nearest neighbours and their distance in Å.
Fractional coordinates of all 5 atoms:
I1 0.0000 0.5000 0.0000  2 Sn 3.08
Sb1 0.5000 0.5000 0.5000  8 I 4.21, 4 Hg 4.36
I2 0.5000 0.0000 0.0000  2 Sn 3.08
Sn1 0.0000 0.0000 0.0000  2 Hg 2.87, 4 I 3.08
Hg1 0.0000 0.0000 0.5000  2 Sn 2.87

Output
Volume ... 218 Å³/f.u.

***

The structure with the greatest stability is one.

***

## one
The following is a PBE-GGA calculation of a geometry-optimized SrHgSbI2 structure, from Alexandria via LeMat-Bulk.

a = 6.0138 Å, b = 6.0138 Å, c = 5.6448 Å
α = 90.00°, β = 90.00°, γ = 90.00°
Last column: nearest neighbours and their distance in Å.
Fractional coordinates of all 5 atoms:
I1 0.0000 0.5000 0.0000  2 Hg 3.01
I2 0.5000 0.0000 0.0000  2 Hg 3.01
Sr1 0.5000 0.5000 0.5000  8 I 4.12, 4 Sb 4.25
Hg1 0.0000 0.0000 0.0000  2 Sb 2.82, 4 I 3.01
Sb1 0.0000 0.0000 0.5000  2 Hg 2.82

Output
Volume ... 204 Å³/f.u.

***

## two
The following is a PBE-GGA calculation of a geometry-optimized SrHgSbI2 structure, from Alexandria via LeMat-Bulk.

a = 6.3420 Å, b = 6.3420 Å, c = 7.0244 Å
α = 90.00°, β = 90.00°, γ = 90.00°
Last column: nearest neighbours and their distance in Å.
Fractional coordinates of all 5 atoms:
I1 0.5000 0.0000 0.0000  2 Sr 3.17
Hg1 0.5000 0.5000 0.5000  4 Sb 4.48, 8 I 4.73
I2 0.0000 0.5000 0.0000  2 Sr 3.17
Sb1 0.0000 0.0000 0.5000  2 Sr 3.51
Sr1 0.0000 0.0000 0.0000  4 I 3.17, 2 Sb 3.51

Output
Volume ... 283 Å³/f.u.

***

The structure with the greatest stability is two.

***

## one
The following is a PBE-GGA calculation of a geometry-optimized TaHgSb2I structure, from Alexandria via LeMat-Bulk.

a = 5.4197 Å, b = 5.4197 Å, c = 5.7679 Å
α = 90.00°, β = 90.00°, γ = 90.00°
Last column: nearest neighbours and their distance in Å.
Fractional coordinates of all 5 atoms:
I1 0.0000 0.0000 0.5000  2 Hg 2.88
Ta1 0.5000 0.5000 0.5000  4 I 3.83, 8 Sb 3.96
Sb1 0.5000 0.0000 0.0000  2 Hg 2.71
Sb2 0.0000 0.5000 0.0000  2 Hg 2.71
Hg1 0.0000 0.0000 0.0000  4 Sb 2.71, 2 I 2.88

Output
Volume ... 169 Å³/f.u.

***

## two
The following is a PBE-GGA calculation of a geometry-optimized TaHgSb2I structure, from Alexandria via LeMat-Bulk.

a = 5.3698 Å, b = 5.3698 Å, c = 5.7737 Å
α = 90.00°, β = 90.00°, γ = 90.00°
Last column: nearest neighbours and their distance in Å.
Fractional coordinates of all 5 atoms:
Sb1 0.0000 0.5000 0.0000  2 Ta 2.68
Ta1 0.0000 0.0000 0.0000  4 Sb 2.68, 2 I 2.89
Hg1 0.5000 0.5000 0.5000  4 I 3.80, 8 Sb 3.94
I1 0.0000 0.0000 0.5000  2 Ta 2.89
Sb2 0.5000 0.0000 0.0000  2 Ta 2.68

Output
Volume ... 166 Å³/f.u.

***

The structure with the greatest stability is two.

***

## one
The following is a PBE-GGA calculation of a geometry-optimized TcHgSbI2 structure, from Alexandria via LeMat-Bulk.

a = 5.8436 Å, b = 5.8436 Å, c = 5.7186 Å
α = 90.00°, β = 90.00°, γ = 90.00°
Last column: nearest neighbours and their distance in Å.
Fractional coordinates of all 5 atoms:
I1 0.0000 0.5000 0.0000  2 Hg 2.92
I2 0.5000 0.0000 0.0000  2 Hg 2.92
Hg1 0.0000 0.0000 0.0000  2 Sb 2.86, 4 I 2.92
Tc1 0.5000 0.5000 0.5000  8 I 4.09, 4 Sb 4.13
Sb1 0.0000 0.0000 0.5000  2 Hg 2.86

Output
Volume ... 195 Å³/f.u.

***

## two
The following is a PBE-GGA calculation of a geometry-optimized TcHgSbI2 structure, from Alexandria via LeMat-Bulk.

a = 5.6588 Å, b = 5.6588 Å, c = 5.1408 Å
α = 90.00°, β = 90.00°, γ = 90.00°
Last column: nearest neighbours and their distance in Å.
Fractional coordinates of all 5 atoms:
I1 0.5000 0.0000 0.0000  2 Tc 2.83
Tc1 0.0000 0.0000 0.0000  2 Sb 2.57, 4 I 2.83
Hg1 0.5000 0.5000 0.5000  8 I 3.82, 4 Sb 4.00
I2 0.0000 0.5000 0.0000  2 Tc 2.83
Sb1 0.0000 0.0000 0.5000  2 Tc 2.57

Output
Volume ... 165 Å³/f.u.

***

The structure with the greatest stability is two.

***

## one
The following is a PBE-GGA calculation of a geometry-optimized TcHgSb2I structure, from Alexandria via LeMat-Bulk.

a = 5.1021 Å, b = 5.1021 Å, c = 5.9515 Å
α = 90.00°, β = 90.00°, γ = 90.00°
Last column: nearest neighbours and their distance in Å.
Fractional coordinates of all 5 atoms:
Sb1 0.0000 0.5000 0.0000  2 Tc 2.55
Hg1 0.5000 0.5000 0.5000  4 I 3.61, 8 Sb 3.92
Sb2 0.5000 0.0000 0.0000  2 Tc 2.55
Tc1 0.0000 0.0000 0.0000  4 Sb 2.55
I1 0.0000 0.0000 0.5000  2 Tc 2.98

Output
Volume ... 155 Å³/f.u.

***

## two
The following is a PBE-GGA calculation of a geometry-optimized TcHgSb2I structure, from Alexandria via LeMat-Bulk.

a = 5.5006 Å, b = 5.5006 Å, c = 5.9959 Å
α = 90.00°, β = 90.00°, γ = 90.00°
Last column: nearest neighbours and their distance in Å.
Fractional coordinates of all 5 atoms:
Sb1 0.0000 0.5000 0.0000  2 Hg 2.75
Sb2 0.5000 0.0000 0.0000  2 Hg 2.75
I1 0.0000 0.0000 0.5000  2 Hg 3.00
Tc1 0.5000 0.5000 0.5000  4 I 3.89, 8 Sb 4.07
Hg1 0.0000 0.0000 0.0000  4 Sb 2.75, 2 I 3.00

Output
Volume ... 181 Å³/f.u.

***

The structure with the greatest stability is one.

***

## one
The following is a PBE-GGA calculation of a geometry-optimized HgSbTe2I structure, from Alexandria via LeMat-Bulk.

a = 5.7892 Å, b = 5.7892 Å, c = 6.0468 Å
α = 90.00°, β = 90.00°, γ = 90.00°
Last column: nearest neighbours and their distance in Å.
Fractional coordinates of all 5 atoms:
Te1 0.5000 0.0000 0.0000  2 Sb 2.89
I1 0.0000 0.0000 0.5000  2 Sb 3.02
Sb1 0.0000 0.0000 0.0000  4 Te 2.89, 2 I 3.02
Te2 0.0000 0.5000 0.0000  2 Sb 2.89
Hg1 0.5000 0.5000 0.5000  4 I 4.09, 8 Te 4.19

Output
Volume ... 203 Å³/f.u.

***

## two
The following is a PBE-GGA calculation of a geometry-optimized HgSbTe2I structure, from Alexandria via LeMat-Bulk.

a = 5.5981 Å, b = 5.5981 Å, c = 5.8117 Å
α = 90.00°, β = 90.00°, γ = 90.00°
Last column: nearest neighbours and their distance in Å.
Fractional coordinates of all 5 atoms:
Te1 0.5000 0.0000 0.0000  2 Hg 2.80
I1 0.5000 0.5000 0.5000  4 Sb 3.96, 8 Te 4.03
Sb1 0.0000 0.0000 0.5000  2 Hg 2.91
Te2 0.0000 0.5000 0.0000  2 Hg 2.80
Hg1 0.0000 0.0000 0.0000  4 Te 2.80, 2 Sb 2.91

Output
Volume ... 182 Å³/f.u.

***

The structure with the greatest stability is one.

***

## one
The following is a PBE-GGA calculation of a geometry-optimized TlHgSb2I structure, from Alexandria via LeMat-Bulk.

a = 5.5735 Å, b = 5.5735 Å, c = 6.6129 Å
α = 90.00°, β = 90.00°, γ = 90.00°
Last column: nearest neighbours and their distance in Å.
Fractional coordinates of all 5 atoms:
Sb1 0.5000 0.0000 0.0000  2 Hg 2.79
Sb2 0.0000 0.5000 0.0000  2 Hg 2.79
I1 0.0000 0.0000 0.5000  2 Hg 3.31
Hg1 0.0000 0.0000 0.0000  4 Sb 2.79
Tl1 0.5000 0.5000 0.5000  4 I 3.94, 8 Sb 4.32

Output
Volume ... 205 Å³/f.u.

***

## two
The following is a PBE-GGA calculation of a geometry-optimized TlHgSb2I structure, from Alexandria via LeMat-Bulk.

a = 5.8502 Å, b = 5.8502 Å, c = 6.3259 Å
α = 90.00°, β = 90.00°, γ = 90.00°
Last column: nearest neighbours and their distance in Å.
Fractional coordinates of all 5 atoms:
Tl1 0.0000 0.0000 0.0000  4 Sb 2.93, 2 I 3.16
Sb1 0.0000 0.5000 0.0000  2 Tl 2.93
Sb2 0.5000 0.0000 0.0000  2 Tl 2.93
I1 0.0000 0.0000 0.5000  2 Tl 3.16
Hg1 0.5000 0.5000 0.5000  4 I 4.14, 8 Sb 4.31

Output
Volume ... 217 Å³/f.u.

***

The structure with the greatest stability is one.